A relaxed La4MnS6O crystal. Source: the Alexandria database, functional PBE+U.

Unit cell a=9.493 b=9.493 c=6.802 alpha=90.00 beta=90.00 gamma=120.00
Fractional positions:
La 0.197 0.393 0.000
La 0.197 0.803 0.000
La 0.333 0.667 0.532
La 0.393 0.197 0.500
La 0.607 0.803 0.000
La 0.667 0.333 0.032
La 0.803 0.197 0.500
La 0.803 0.607 0.500
Mn 0.000 0.000 0.339
Mn 0.000 0.000 0.839
S 0.061 0.530 0.279
S 0.118 0.237 0.603
S 0.118 0.882 0.603
S 0.237 0.118 0.103
S 0.470 0.530 0.279
S 0.470 0.939 0.279
S 0.530 0.061 0.779
S 0.530 0.470 0.779
S 0.763 0.882 0.603
S 0.882 0.118 0.103
S 0.882 0.763 0.103
S 0.939 0.470 0.779
O 0.333 0.667 0.878
O 0.667 0.333 0.378

M_tot (μB per cell): 2.0
Final energy (eV per atom): -6.6979
Crystal system: hexagonal
Density (g/cm3): 5.12
SG: P6_3mc